{"formula": "Th11Ru12C18", "functional": "PBEsol", "state": "relaxed", "total_magnetization_mub_per_fu": 0.000, "spacegroup": "I-43m", "rho_g_cm3": 10.8, "e_form_ev_per_atom": -0.3212, "cell": [[9.277, 0.000, 0.000], [-3.092, 8.747, 0.000], [-3.092, -4.373, 7.575]], "species": ["Th", "Th", "Th", "Th", "Th", "Th", "Th", "Th", "Th", "Th", "Th", "Ru", "Ru", "Ru", "Ru", "Ru", "Ru", "Ru", "Ru", "Ru", "Ru", "Ru", "Ru", "C", "C", "C", "C", "C", "C", "C", "C", "C", "C", "C", "C", "C", "C", "C", "C", "C", "C"], "fractional_positions": [[0.405, 0.000, 0.000], [0.000, 0.000, 0.405], [0.595, 0.595, 0.595], [0.000, 0.405, 0.000], [0.250, 0.500, 0.750], [0.750, 0.250, 0.500], [0.250, 0.750, 0.500], [0.500, 0.250, 0.750], [0.500, 0.750, 0.250], [0.750, 0.500, 0.250], [0.000, 0.000, 0.000], [0.170, 0.367, 0.367], [0.802, 0.000, 0.633], [0.198, 0.830, 0.198], [0.000, 0.633, 0.802], [0.633, 0.802, 0.000], [0.000, 0.802, 0.633], [0.367, 0.170, 0.367], [0.198, 0.198, 0.830], [0.367, 0.367, 0.170], [0.802, 0.633, 0.000], [0.633, 0.000, 0.802], [0.830, 0.198, 0.198], [0.000, 0.434, 0.434], [0.000, 0.566, 0.566], [0.434, 0.000, 0.434], [0.566, 0.000, 0.566], [0.434, 0.434, 0.000], [0.566, 0.566, 0.000], [0.690, 0.214, 0.000], [0.000, 0.690, 0.214], [0.786, 0.476, 0.786], [0.214, 0.000, 0.690], [0.524, 0.310, 0.310], [0.310, 0.524, 0.310], [0.690, 0.000, 0.214], [0.786, 0.786, 0.476], [0.000, 0.214, 0.690], [0.310, 0.310, 0.524], [0.214, 0.690, 0.000], [0.476, 0.786, 0.786]]}